Entry 1:
The following is a meta-GGA SCAN calculation of a crystal of Re2OsRu relaxed with PBEsol, from Alexandria via LeMat-Bulk.

Properties
* symmetry: No. 65
* uncorrected energy: -248.824 eV/cell
* calculated volume: 56.5 Å³/cell
* formation energy: 19 meV per atom
* ρ: 19.521 g/cm3
* distance to the lowest polymorph of the same formula: 128.3 meV per atom

abc: 2.7153 4.6962 4.6962
angles: 109.47 90.00 90.00
Positions (direct):
Os1 0.5000 0.5000 0.5000
Re1 0.0000 0.5000 0.0000
Re2 0.0000 0.0000 0.5000
Ru1 0.5000 0.0000 0.0000



Entry 2:
The following is a meta-GGA SCAN calculation of a crystal of ReOsRu2 relaxed with PBEsol, from Alexandria via LeMat-Bulk.

Properties
* symmetry: No. 65
* uncorrected energy: -212.313 eV/cell
* calculated volume: 55.2 Å³/cell
* formation energy: 79 meV per atom
* ρ: 17.402 g/cm3
* distance to the lowest polymorph of the same formula: 169.0 meV per atom

abc: 2.6977 4.6552 4.6552
angles: 109.21 90.00 90.00
Positions (direct):
Os1 0.5000 0.0000 0.0000
Re1 0.5000 0.5000 0.5000
Ru1 0.0000 0.5000 0.0000
Ru2 0.0000 0.0000 0.5000



Entry 3:
The following is a meta-GGA SCAN calculation of a crystal of ReOs2Ru relaxed with PBEsol, from Alexandria via LeMat-Bulk.

Properties
* symmetry: No. 166
* uncorrected energy: -249.286 eV/cell
* calculated volume: 55.9 Å³/cell
* formation energy: 100 meV per atom
* ρ: 19.829 g/cm3
* distance to the lowest polymorph of the same formula: 186.7 meV per atom

abc: 2.7030 2.7030 8.9746
angles: 81.34 81.34 60.00
Positions (direct):
Os1 0.2506 0.2506 0.2483
Os2 0.7494 0.7494 0.7517
Re1 0.5000 0.5000 0.5000
Ru1 0.0000 0.0000 0.0000



Entry 4:
The following is a meta-GGA SCAN calculation of a crystal of ReSbOsRu2 relaxed with PBEsol, from Alexandria via LeMat-Bulk.

Properties
* symmetry: No. 123
* uncorrected energy: -238.629 eV/cell
* calculated volume: 101.0 Å³/cell
* ρ: 11.517 g/cm3

abc: 4.5376 4.5376 4.9042
angles: 90.00 90.00 90.00
Positions (direct):
Ru1 0.0000 0.5000 0.0000
Ru2 0.5000 0.0000 0.0000
Re1 0.0000 0.0000 0.0000
Os1 0.5000 0.5000 0.5000
Sb1 0.0000 0.0000 0.5000



Entry 5:
The following is a meta-GGA SCAN calculation of a crystal of ReOs3S relaxed with PBEsol, from Alexandria via LeMat-Bulk.

Properties
* symmetry: No. 221
* uncorrected energy: -282.982 eV/cell
* calculated volume: 101.6 Å³/cell
* ρ: 12.888 g/cm3

abc: 4.6670 4.6670 4.6670
angles: 90.00 90.00 90.00
Positions (direct):
Re1 0.0000 0.0000 0.0000
S1 0.5000 0.5000 0.5000
Os1 0.0000 0.5000 0.0000
Os2 0.0000 0.0000 0.5000
Os3 0.5000 0.0000 0.0000



Entry 6:
The following is a meta-GGA SCAN calculation of a crystal of ReSbOs2 relaxed with PBEsol, from Alexandria via LeMat-Bulk.

Properties
* symmetry: No. 119
* uncorrected energy: -249.566 eV/cell
* calculated volume: 61.3 Å³/cell
* ρ: 18.634 g/cm3

abc: 3.9273 3.9273 4.8510
angles: 113.88 113.88 90.00
Positions (direct):
Os1 0.0000 0.0000 0.0000
Os2 0.7500 0.2500 0.5000
Re1 0.5000 0.5000 0.0000
Sb1 0.2500 0.7500 0.5000



Entry 7:
The following is a meta-GGA SCAN calculation of a crystal of ReSbOs2 relaxed with PBEsol, from Alexandria via LeMat-Bulk.

Properties
* symmetry: No. 166
* uncorrected energy: -249.988 eV/cell
* calculated volume: 62.6 Å³/cell
* ρ: 18.250 g/cm3

abc: 2.8811 2.8811 8.8710
angles: 80.65 80.65 60.00
Positions (direct):
Os1 0.2469 0.2469 0.2594
Os2 0.7531 0.7531 0.7406
Re1 0.5000 0.5000 0.5000
Sb1 0.0000 0.0000 0.0000



Entry 8:
The following is a meta-GGA SCAN calculation of a crystal of ReSbOs2 relaxed with PBEsol, from Alexandria via LeMat-Bulk.

Properties
* symmetry: No. 12
* uncorrected energy: -248.215 eV/cell
* calculated volume: 63.3 Å³/cell
* ρ: 18.070 g/cm3

abc: 2.8611 4.8720 5.3080
angles: 116.04 103.62 94.25
Positions (direct):
Os1 0.0000 0.0000 0.5000
Os2 0.5000 0.5000 0.5000
Re1 0.5000 0.0000 0.0000
Sb1 0.0000 0.5000 0.0000



Entry 9:
The following is a meta-GGA SCAN calculation of a crystal of TlReSb2Os relaxed with PBEsol, from Alexandria via LeMat-Bulk.

Properties
* symmetry: No. 123
* uncorrected energy: -281.837 eV/cell
* calculated volume: 130.7 Å³/cell
* ρ: 10.473 g/cm3

abc: 5.0240 5.0240 5.1781
angles: 90.00 90.00 90.00
Positions (direct):
Re1 0.0000 0.0000 0.0000
Tl1 0.0000 0.0000 0.5000
Os1 0.5000 0.5000 0.5000
Sb1 0.0000 0.5000 0.0000
Sb2 0.5000 0.0000 0.0000



Entry 10:
The following is a meta-GGA SCAN calculation of a crystal of ScRe2Os relaxed with PBEsol, from Alexandria via LeMat-Bulk.

Properties
* symmetry: No. 65
* uncorrected energy: -227.745 eV/cell
* calculated volume: 61.3 Å³/cell
* formation energy: 142 meV per atom
* ρ: 16.458 g/cm3
* distance to the lowest polymorph of the same formula: 284.8 meV per atom

abc: 2.8027 4.9510 4.9510
angles: 116.84 90.00 90.00
Positions (direct):
Os1 0.5000 0.5000 0.5000
Re1 0.0000 0.5000 0.0000
Re2 0.0000 0.0000 0.5000
Sc1 0.5000 0.0000 0.0000



Entry 11:
The following is a meta-GGA SCAN calculation of a crystal of Sc2ReOs relaxed with PBEsol, from Alexandria via LeMat-Bulk.

Properties
* symmetry: No. 119
* uncorrected energy: -171.393 eV/cell
* calculated volume: 66.2 Å³/cell
* formation energy: 15 meV per atom
* ρ: 11.699 g/cm3

abc: 3.7987 3.7987 5.3157
angles: 110.94 110.94 90.00
Positions (direct):
Os1 0.5000 0.5000 0.0000
Re1 0.2500 0.7500 0.5000
Sc1 0.0000 0.0000 0.0000
Sc2 0.7500 0.2500 0.5000



Entry 12:
The following is a meta-GGA SCAN calculation of a crystal of ScRe2Os relaxed with PBEsol, from Alexandria via LeMat-Bulk.

Properties
* symmetry: No. 216
* uncorrected energy: -228.819 eV/cell
* calculated volume: 60.4 Å³/cell
* formation energy: -127 meV per atom
* ρ: 16.703 g/cm3
* distance to the lowest polymorph of the same formula: 16.1 meV per atom

abc: 4.4041 4.4041 4.4041
angles: 60.00 60.00 60.00
Positions (direct):
Os1 0.5000 0.5000 0.5000
Re1 0.0000 0.0000 0.0000
Re2 0.7500 0.7500 0.7500
Sc1 0.2500 0.2500 0.2500